Record 1
First-principles (PBE) data for Nd2Pu2N7 after structural relaxation, as listed in the Alexandria database.

Cell: 5.506 5.341 5.341 Å, 96.71 90.00 90.00°
Each line ends with the local moment (μB).
Fractional positions:
1 Nd 0.500 0.750 0.750  -0.02
2 Nd 0.500 0.250 0.250  -0.02
3 Pu 0.000 0.726 0.274  1.80
4 Pu 0.000 0.274 0.726  1.80
5 N 0.772 0.000 0.500  -0.27
6 N 0.228 0.500 0.000  -0.27
7 N 0.228 0.000 0.500  -0.27
8 N 0.772 0.500 0.000  -0.27
9 N 0.000 0.000 0.000  -0.38
10 N 0.225 0.500 0.500  -0.26
11 N 0.775 0.500 0.500  -0.26

## Properties
**ΔE_f (raw)**: -6.602 eV/f.u.
**DOS(E_F)**: 8.1 states/eV/f.u.
**Space-group type**: Cmmm
**E**: -9.3708 eV per atom


Record 2
First-principles (PBE) data for Nd2PuN2 after structural relaxation, as listed in the Alexandria database.

Cell: 5.200 6.243 7.908 Å, 59.61 70.81 65.39°
Each line ends with the local moment (μB).
Fractional positions:
1 Nd 0.666 0.249 0.419  0.09
2 Nd 0.334 0.751 0.581  0.09
3 Nd 0.004 0.732 0.259  0.12
4 Nd 0.996 0.268 0.741  0.12
5 Pu 0.338 0.231 0.093  5.11
6 Pu 0.662 0.769 0.907  5.11
7 N 0.170 0.252 0.407  -0.05
8 N 0.830 0.748 0.593  -0.05
9 N 0.508 0.213 0.771  -0.11
10 N 0.492 0.787 0.229  -0.11

## Properties
**ΔE_f (raw)**: -4.845 eV/f.u.
**DOS(E_F)**: 9.1 states/eV/f.u.
**Space-group type**: C2/m
**E**: -9.0726 eV per atom


Record 3
First-principles (PBE) data for Nd2PuN after structural relaxation, as listed in the Alexandria database.

Cell: 3.207 3.207 9.005 Å, 90.00 90.00 90.00°
Each line ends with the local moment (μB).
Fractional positions:
1 N 0.500 0.500 0.000  0.06
2 Nd 0.000 0.000 0.836  0.04
3 Nd 0.000 0.000 0.164  0.04
4 Pu 0.500 0.500 0.500  5.79

## Properties
**Offset from the most stable computed form**: 349 meV/atom
**ΔE_f (raw)**: -0.239 eV/f.u.
**DOS(E_F)**: 9.0 states/eV/f.u.
**Space-group type**: P4/mmm
**E**: -8.1080 eV per atom


Record 4
First-principles (PBE) data for Nd4PuN4 after structural relaxation, as listed in the Alexandria database.

Cell: 3.605 6.299 8.137 Å, 75.57 77.20 73.37°
Each line ends with the local moment (μB).
Fractional positions:
1 Nd 0.705 0.402 0.189  0.09
2 Nd 0.893 0.829 0.385  0.09
3 Nd 0.295 0.598 0.811  0.09
4 Nd 0.107 0.171 0.615  0.09
5 Pu 0.500 0.000 0.000  4.67
6 N 0.304 0.095 0.296  -0.04
7 N 0.696 0.905 0.704  -0.04
8 N 0.906 0.275 0.913  -0.11
9 N 0.094 0.725 0.087  -0.11

## Properties
**Offset from the most stable computed form**: 0 meV/atom
**ΔE_f (raw)**: -10.513 eV/f.u.
**DOS(E_F)**: 9.2 states/eV/f.u.
**Space-group type**: C2/m
**E**: -8.5797 eV per atom


Record 5
First-principles (PBE) data for Nd4PuN4 after structural relaxation, as listed in the Alexandria database.

Cell: 5.830 5.830 7.014 Å, 114.55 114.55 90.00°
Each line ends with the local moment (μB).
Fractional positions:
1 Nd 0.500 0.000 0.000  0.33
2 Nd 0.000 0.500 0.000  0.33
3 Nd 0.279 0.279 0.559  0.17
4 Nd 0.721 0.721 0.441  0.17
5 Pu 0.000 0.000 0.000  5.52
6 N 0.641 0.641 0.750  -0.03
7 N 0.359 0.891 0.250  -0.03
8 N 0.109 0.109 0.750  -0.03
9 N 0.891 0.359 0.250  -0.03

## Properties
**Offset from the most stable computed form**: 465 meV/atom
**ΔE_f (raw)**: -6.325 eV/f.u.
**DOS(E_F)**: 9.3 states/eV/f.u.
**Space-group type**: I-42m
**E**: -8.1144 eV per atom


Record 6
First-principles (PBE) data for NdPu3N after structural relaxation, as listed in the Alexandria database.

Cell: 4.913 4.913 4.913 Å, 90.00 90.00 90.00°
Each line ends with the local moment (μB).
Fractional positions:
1 N 0.000 0.000 0.000  -0.27
2 Nd 0.500 0.500 0.500  0.09
3 Pu 0.000 0.500 0.000  5.23
4 Pu 0.000 0.000 0.500  5.23
5 Pu 0.500 0.000 0.000  5.23

## Properties
**ΔE_f (raw)**: -1.320 eV/f.u.
**DOS(E_F)**: 17.2 states/eV/f.u.
**Space-group type**: Pm-3m
**E**: -11.4818 eV per atom


Record 7
First-principles (PBE) data for Nd3PuN6 after structural relaxation, as listed in the Alexandria database.

Cell: 6.938 6.938 6.938 Å, 91.49 91.49 91.49°
Fractional positions:
1 Nd 0.059 0.554 0.251
2 Nd 0.251 0.059 0.554
3 Nd 0.446 0.749 0.941
4 Nd 0.554 0.251 0.059
5 Nd 0.749 0.941 0.446
6 Nd 0.941 0.446 0.749
7 Pu 0.000 0.000 0.000
8 Pu 0.500 0.500 0.500
9 N 0.074 0.717 0.942
10 N 0.058 0.926 0.283
11 N 0.217 0.417 0.539
12 N 0.283 0.058 0.926
13 N 0.417 0.539 0.217
14 N 0.461 0.783 0.583
15 N 0.539 0.217 0.417
16 N 0.583 0.461 0.783
17 N 0.717 0.942 0.074
18 N 0.783 0.583 0.461
19 N 0.942 0.074 0.717
20 N 0.926 0.283 0.058

## Properties
**ΔE_f (raw)**: -9.039 eV/f.u.
**DOS(E_F)**: 6.7 states/eV/f.u.
**Space-group type**: R-3
**E**: -8.7627 eV per atom


Record 8
First-principles (PBE) data for NdPuN3 after structural relaxation, as listed in the Alexandria database.

Cell: 5.974 5.974 10.131 Å, 73.35 73.35 58.61°
Each line ends with the local moment (μB).
Fractional positions:
1 Nd 0.888 0.385 0.867  0.00
2 Nd 0.615 0.112 0.633  0.00
3 Nd 0.112 0.615 0.133  0.00
4 Nd 0.385 0.888 0.367  0.00
5 Pu 0.000 0.500 0.500  2.45
6 Pu 0.500 0.000 0.000  2.45
7 Pu 0.750 0.250 0.250  2.52
8 Pu 0.250 0.750 0.750  2.52
9 N 0.833 0.845 0.851  -0.15
10 N 0.155 0.167 0.649  -0.15
11 N 0.167 0.155 0.149  -0.15
12 N 0.845 0.833 0.351  -0.15
13 N 0.669 0.653 0.650  -0.15
14 N 0.347 0.331 0.850  -0.15
15 N 0.331 0.347 0.350  -0.15
16 N 0.653 0.669 0.150  -0.15
17 N 0.313 0.814 0.916  -0.14
18 N 0.186 0.687 0.584  -0.14
19 N 0.814 0.313 0.416  -0.14
20 N 0.687 0.186 0.084  -0.14

## Properties
**ΔE_f (raw)**: -5.420 eV/f.u.
**DOS(E_F)**: 3.9 states/eV/f.u.
**Space-group type**: C2/c
**E**: -9.8992 eV per atom


Record 9
First-principles (PBE) data for Nd2PuN4 after structural relaxation, as listed in the Alexandria database.

Cell: 3.587 6.040 9.905 Å, 90.00 90.00 90.00°
Each line ends with the local moment (μB).
Fractional positions:
1 Nd 0.500 0.930 0.823  0.00
2 Nd 0.500 0.070 0.177  0.00
3 Nd 0.500 0.430 0.677  0.00
4 Nd 0.500 0.570 0.323  0.00
5 Pu 0.000 0.000 0.500  2.54
6 Pu 0.000 0.500 0.000  2.54
7 N 0.000 0.632 0.814  -0.10
8 N 0.000 0.368 0.186  -0.10
9 N 0.000 0.132 0.686  -0.10
10 N 0.000 0.868 0.314  -0.10
11 N 0.500 0.775 0.548  -0.13
12 N 0.500 0.225 0.452  -0.13
13 N 0.500 0.725 0.048  -0.13
14 N 0.500 0.275 0.952  -0.13

## Properties
**ΔE_f (raw)**: -8.584 eV/f.u.
**DOS(E_F)**: 2.9 states/eV/f.u.
**Space-group type**: Pbam
**E**: -9.3932 eV per atom


Record 10
First-principles (PBE) data for NdPu2N after structural relaxation, as listed in the Alexandria database.

Cell: 3.963 3.963 6.841 Å, 73.16 73.16 60.00°
Fractional positions:
1 N 0.000 0.000 0.000
2 Nd 0.500 0.500 0.500
3 Pu 0.311 0.311 0.066
4 Pu 0.689 0.689 0.934

## Properties
**ΔE_f (raw)**: 0.154 eV/f.u.
**DOS(E_F)**: 7.7 states/eV/f.u.
**Space-group type**: R-3m
**E**: -10.4008 eV per atom


Record 11
First-principles (PBE) data for NdPu5N6 after structural relaxation, as listed in the Alexandria database.

Cell: 6.072 6.072 6.073 Å, 99.68 99.68 119.99°
Each line ends with the local moment (μB).
Fractional positions:
1 N 0.434 0.080 0.256  -0.14
2 N 0.920 0.566 0.744  -0.14
3 N 0.261 0.261 0.745  -0.13
4 N 0.739 0.739 0.255  -0.13
5 N 0.080 0.434 0.256  -0.14
6 N 0.566 0.920 0.744  -0.14
7 Nd 0.000 0.000 0.000  0.07
8 Pu 0.834 0.166 0.500  4.59
9 Pu 0.666 0.334 0.000  4.65
10 Pu 0.500 0.500 0.500  -4.50
11 Pu 0.334 0.666 0.000  4.65
12 Pu 0.166 0.834 0.500  4.59

## Properties
**ΔE_f (raw)**: -14.745 eV/f.u.
**DOS(E_F)**: 27.8 states/eV/f.u.
**Space-group type**: C2/m
**E**: -11.7604 eV per atom


Record 12
First-principles (PBE) data for NdPuN2 after structural relaxation, as listed in the Alexandria database.

Cell: 3.511 3.511 6.334 Å, 73.91 73.91 60.00°
Each line ends with the local moment (μB).
Fractional positions:
1 Nd 0.495 0.495 0.516  0.21
2 Pu 0.667 0.667 0.999  4.71
3 N 0.076 0.076 0.771  -0.15
4 N 0.262 0.262 0.214  -0.16

## Properties
**ΔE_f (raw)**: -4.541 eV/f.u.
**DOS(E_F)**: 6.6 states/eV/f.u.
**Space-group type**: R3m
**E**: -10.0730 eV per atom